(1)
La2CdNi: optimized geometry, PBE. Values from VASP.

```
&SYSTEM
  ibrav = 0, nat = 8, ntyp = 3
/
ATOMIC_SPECIES
La 138.91 La.upf
Ni 58.69 Ni.upf
Cd 112.41 Cd.upf
CELL_PARAMETERS angstrom
3.655 0.000 0.000
0.000 7.300 0.000
0.000 0.000 7.841
ATOMIC_POSITIONS angstrom
La 1.827 3.588 6.180
La 1.827 7.237 1.660
La 1.827 3.712 1.660
La 1.827 0.062 6.180
Ni 0.000 1.825 0.275
Ni 0.000 5.475 7.566
Cd 0.000 5.475 4.020
Cd 0.000 1.825 3.820
```

- SG = No. 51
- crystal system = orthorhombic



(2)
LaCd2Ni2: optimized geometry, PBE. Values from VASP.

```
&SYSTEM
  ibrav = 0, nat = 5, ntyp = 3
/
ATOMIC_SPECIES
Cd 112.41 Cd.upf
Ni 58.69 Ni.upf
La 138.91 La.upf
CELL_PARAMETERS angstrom
4.139 0.000 0.000
0.000 4.139 0.000
2.070 2.070 5.918
ATOMIC_POSITIONS angstrom
Cd 2.070 4.139 2.959
Cd 4.139 2.070 2.959
Ni 2.070 2.070 1.154
Ni 4.139 4.139 4.764
La 0.000 0.000 0.000
```

- SG = No. 139
- crystal system = tetragonal



(3)
La2CdNi2: optimized geometry, PBE. Values from VASP.

```
&SYSTEM
  ibrav = 0, nat = 5, ntyp = 3
/
ATOMIC_SPECIES
Cd 112.41 Cd.upf
Ni 58.69 Ni.upf
La 138.91 La.upf
CELL_PARAMETERS angstrom
3.582 0.000 0.000
0.000 3.582 0.000
1.791 1.791 9.236
ATOMIC_POSITIONS angstrom
Cd 0.000 0.000 0.000
Ni 3.582 1.791 4.618
Ni 1.791 3.582 4.618
La 1.791 1.791 2.421
La 3.582 3.582 6.815
```

- SG = No. 139
- crystal system = tetragonal



(4)
La4CdNi: optimized geometry, PBE. Values from VASP.

```
&SYSTEM
  ibrav = 0, nat = 6, ntyp = 3
/
ATOMIC_SPECIES
Ni 58.69 Ni.upf
La 138.91 La.upf
Cd 112.41 Cd.upf
CELL_PARAMETERS angstrom
1.126 2.170 5.904
-2.101 5.780 1.734
-4.804 0.532 4.179
ATOMIC_POSITIONS angstrom
Ni -4.334 6.362 8.863
La -4.557 3.452 6.517
La -1.613 4.266 7.373
La -2.172 3.188 4.442
La -3.215 6.058 5.303
Cd 0.000 0.000 0.000
```

- SG = No. 216
- crystal system = cubic



Magnetization? In order: 0.0, 0.0, 0.0, 0.0 μB per formula unit.
Energy? In order: -35.400, -19.444, -23.129, -23.220 eV per cell.